<a>
This record from Alexandria via LeMat-Bulk describes a geometry-optimized Li4InAu structure. The functional is PBE-GGA.

The structure in extended XYZ format:
```
6
Lattice="-2.223 1.740 -0.558 0.759 -0.464 -4.463 -4.800 -6.052 -0.186" Properties=species:S:1:pos:R:3 pbc="T T T"
Li -1.895 -0.149 -4.934
In -4.971 -5.834 -2.544
Li -4.650 -2.720 -2.814
Au -2.193 -3.039 -4.683
Li -2.716 -1.154 -2.649
Li -4.714 -4.195 -4.991
```

Computed properties:
For the total magnetization, the calculation gives 0.000 μB per cell. As for the theoretical density: 5.57 Mg/m³.

---

<b>
This record from Alexandria via LeMat-Bulk describes a geometry-optimized Li4InAu structure. The functional is PBE-GGA.

The structure in extended XYZ format:
```
6
Lattice="4.107 0.000 -0.001 0.000 4.115 -0.002 0.003 0.004 7.477" Properties=species:S:1:pos:R:3 pbc="T T T"
In 2.061 2.051 7.463
Au 0.006 4.106 3.722
Li 2.059 4.105 2.049
Li 0.006 2.047 2.055
Li 2.061 4.107 5.395
Li 0.008 2.049 5.391
```

Computed properties:
For the total magnetization, the calculation gives 0.000 μB per cell. As for the theoretical density: 4.46 Mg/m³.

---

In terms of stability, <a> leads; the second structure lies 0.159 eV/atom higher.

---

<a>
This record from Alexandria via LeMat-Bulk describes a geometry-optimized Li4InAu2 structure. The functional is PBE-GGA.

The structure in extended XYZ format:
```
7
Lattice="-4.187 -1.606 -0.711 -0.603 -4.371 -1.073 -2.129 -3.555 6.069" Properties=species:S:1:pos:R:3 pbc="T T T"
Au -1.706 -2.312 0.770
In 0.000 0.000 0.000
Li -5.010 -6.622 0.965
Li -1.909 -2.911 3.320
Li -3.602 -5.183 3.921
Au -5.214 -7.220 3.515
Li -3.318 -4.349 0.364
```

Computed properties:
For the total magnetization, the calculation gives 0.000 μB per cell. As for the theoretical density: 7.27 Mg/m³.

---

<b>
This record from Alexandria via LeMat-Bulk describes a geometry-optimized Li4InAu2 structure. The functional is PBE-GGA.

The structure in extended XYZ format:
```
7
Lattice="4.990 0.000 0.000 0.000 4.990 0.000 -2.495 -2.495 5.323" Properties=species:S:1:pos:R:3 pbc="T T T"
Li 2.495 0.000 0.000
Li 2.495 0.000 2.661
Au 0.000 0.000 3.924
Li 0.000 2.495 0.000
In 0.000 0.000 0.000
Au 2.495 2.495 1.398
Li 0.000 2.495 2.661
```

Computed properties:
For the total magnetization, the calculation gives 0.000 μB per cell. As for the theoretical density: 6.72 Mg/m³.

---

In terms of stability, <a> leads; the second structure lies 0.281 eV/atom higher.

---

<a>
This record from Alexandria via LeMat-Bulk describes a geometry-optimized Li3InAu2 structure. The functional is PBE-GGA.

The structure in extended XYZ format:
```
12
Lattice="4.543 0.000 0.000 -2.272 9.612 -0.099 0.000 -4.475 5.066" Properties=species:S:1:pos:R:3 pbc="T T T"
Li 2.272 1.635 2.066
Li 2.272 5.259 3.584
Li 0.000 5.935 1.656
Au 2.272 -3.216 4.477
In 0.000 2.850 0.016
Au 2.272 4.220 1.222
Au 0.000 8.353 0.490
Au 0.000 0.917 3.745
Li 0.000 -0.122 1.383
Li 0.000 3.502 2.901
In 2.272 2.287 4.951
Li 2.272 -0.798 3.311
```

Computed properties:
For the total magnetization, the calculation gives 0.000 μB per cell. As for the theoretical density: 8.02 Mg/m³.

---

<b>
This record from Alexandria via LeMat-Bulk describes a geometry-optimized Li3InAu2 structure. The functional is PBE-GGA.

The structure in extended XYZ format:
```
6
Lattice="3.270 0.000 0.000 0.000 3.270 0.000 0.000 0.000 9.262" Properties=species:S:1:pos:R:3 pbc="T T T"
Au 1.635 1.635 7.770
In 1.635 1.635 4.631
Li 0.000 0.000 0.000
Au 1.635 1.635 1.492
Li 0.000 0.000 2.854
Li 0.000 0.000 6.408
```

Computed properties:
For the total magnetization, the calculation gives 0.000 μB per cell. As for the theoretical density: 8.88 Mg/m³.

---

In terms of stability, <b> leads; the second structure lies 0.048 eV/atom higher.

---

<a>
This record from Alexandria via LeMat-Bulk describes a geometry-optimized Li8InAu2 structure. The functional is PBE-GGA.

The structure in extended XYZ format:
```
11
Lattice="-3.532 -1.544 2.322 -2.618 -3.220 -6.121 5.997 -2.400 3.165" Properties=species:S:1:pos:R:3 pbc="T T T"
Li 0.678 -6.142 1.309
Li -0.831 -1.022 -1.942
Au -0.090 -3.515 1.887
Li 0.844 -1.381 0.366
Au -0.063 -3.649 -2.521
Li -2.691 -4.496 -2.721
Li 1.501 -3.942 -0.338
Li -0.997 -5.782 -1.000
In -1.766 -0.772 1.161
Li 2.538 -2.667 2.087
Li -1.654 -3.221 -0.296
```

Computed properties:
For the total magnetization, the calculation gives 0.000 μB per cell. As for the theoretical density: 4.90 Mg/m³.

---

<b>
This record from Alexandria via LeMat-Bulk describes a geometry-optimized Li8InAu2 structure. The functional is PBE-GGA.

The structure in extended XYZ format:
```
11
Lattice="4.704 0.691 0.000 1.112 7.765 0.000 0.556 3.882 5.869" Properties=species:S:1:pos:R:3 pbc="T T T"
In 2.352 0.346 0.000
Li 4.508 2.095 1.455
Li 1.942 3.153 0.000
Li 3.464 8.110 2.820
Li 5.064 5.978 4.414
Li 1.863 10.243 4.414
Li 2.908 4.228 3.049
Au 0.556 3.882 2.092
Li 1.308 6.361 1.455
Au 1.112 7.765 3.777
Li 3.874 5.303 0.000
```

Computed properties:
For the total magnetization, the calculation gives 0.000 μB per cell. As for the theoretical density: 4.47 Mg/m³.

---

In terms of stability, <a> leads; the second structure lies 0.048 eV/atom higher.

---

<a>
This record from Alexandria via LeMat-Bulk describes a geometry-optimized Li3In2Au4 structure. The functional is PBE-GGA.

The structure in extended XYZ format:
```
9
Lattice="-2.241 -3.598 -0.991 1.741 -4.142 1.538 -3.797 0.169 7.959" Properties=species:S:1:pos:R:3 pbc="T T T"
Li 0.000 0.000 0.000
Li -2.435 -5.107 4.915
Au -3.710 -5.037 7.541
Au 0.369 -4.026 4.223
Li -1.861 -2.464 3.592
In -1.231 -5.086 2.130
In -3.065 -2.484 6.377
Au -0.586 -2.534 0.966
Au -4.665 -3.544 4.284
```

Computed properties:
For the total magnetization, the calculation gives 0.000 μB per cell. As for the theoretical density: 10.73 Mg/m³.

---

<b>
This record from Alexandria via LeMat-Bulk describes a geometry-optimized Li3In2Au4 structure. The functional is PBE-GGA.

The structure in extended XYZ format:
```
9
Lattice="-3.954 0.037 -2.247 1.161 -5.073 2.475 -2.383 7.234 4.312" Properties=species:S:1:pos:R:3 pbc="T T T"
Au -2.826 3.839 5.037
In -2.192 1.415 3.880
Li -1.303 -1.246 2.272
Au -4.302 -0.161 2.964
In -2.984 0.783 0.660
Li 0.000 0.000 0.000
Li -3.872 3.444 2.268
Au -0.874 2.358 1.577
Au -2.349 -1.641 -0.496
```

Computed properties:
For the total magnetization, the calculation gives 0.000 μB per cell. As for the theoretical density: 10.44 Mg/m³.

---

In terms of stability, <a> leads; the second structure lies 0.033 eV/atom higher.

---

<a>
This record from Alexandria via LeMat-Bulk describes a geometry-optimized LiInAu3 structure. The functional is PBE-GGA.

The structure in extended XYZ format:
```
5
Lattice="4.622 0.000 0.000 0.000 4.622 0.000 0.000 0.000 4.622" Properties=species:S:1:pos:R:3 pbc="T T T"
Au 2.311 0.000 0.000
Au 0.000 0.000 2.311
Li 0.000 0.000 0.000
Au 0.000 2.311 0.000
In 2.311 2.311 2.311
```

Computed properties:
For the total magnetization, the calculation gives 0.000 μB per cell. As for the theoretical density: 11.99 Mg/m³.

---

<b>
This record from Alexandria via LeMat-Bulk describes a geometry-optimized LiInAu3 structure. The functional is PBE-GGA.

The structure in extended XYZ format:
```
5
Lattice="-1.436 3.984 -3.112 -4.817 -2.059 -0.413 -1.532 2.740 4.215" Properties=species:S:1:pos:R:3 pbc="T T T"
Au -0.766 1.370 2.107
Au -2.409 -1.030 -0.206
In 0.000 0.000 0.000
Au -0.718 1.992 -1.556
Li -3.893 2.332 0.345
```

Computed properties:
For the total magnetization, the calculation gives 0.000 μB per cell. As for the theoretical density: 8.15 Mg/m³.

---

<c>
This record from Alexandria via LeMat-Bulk describes a geometry-optimized LiInAu3 structure. The functional is PBE-GGA.

The structure in extended XYZ format:
```
5
Lattice="-2.559 -2.617 1.720 2.188 -3.108 3.291 -2.072 1.807 4.469" Properties=species:S:1:pos:R:3 pbc="T T T"
Au -2.055 -0.653 5.585
Au -0.711 -3.093 3.835
In -1.729 -3.409 6.615
Li 2.090 -3.009 3.386
Au -1.101 -0.297 2.794
```

Computed properties:
For the total magnetization, the calculation gives 0.000 μB per cell. As for the theoretical density: 13.16 Mg/m³.

---

<d>
This record from Alexandria via LeMat-Bulk describes a geometry-optimized LiInAu3 structure. The functional is PBE-GGA.

The structure in extended XYZ format:
```
10
Lattice="-2.974 -1.434 3.538 4.516 -2.153 2.924 2.242 6.446 1.284" Properties=species:S:1:pos:R:3 pbc="T T T"
Au -0.193 -0.021 3.153
Li 1.140 -0.449 0.780
Li 2.643 3.308 6.967
Au 1.236 1.879 5.186
In 1.710 3.916 3.113
Au 2.547 0.980 2.560
In 2.073 -1.057 4.633
Au 4.782 -0.085 4.007
Au 3.977 2.881 4.593
Au -0.998 2.944 3.739
```

Computed properties:
For the total magnetization, the calculation gives 0.000 μB per cell. As for the theoretical density: 12.91 Mg/m³.

---

In terms of stability, <c> leads; the second structure lies 0.057 eV/atom higher.

---

<a>
This record from Alexandria via LeMat-Bulk describes a geometry-optimized Li3InAu3 structure. The functional is PBE-GGA.

The structure in extended XYZ format:
```
14
Lattice="-0.478 1.331 6.828 -5.804 -3.851 0.344 3.836 -5.660 1.372" Properties=species:S:1:pos:R:3 pbc="T T T"
Li 0.467 -3.792 0.772
Au 1.559 -1.832 5.807
Li -2.435 -5.718 0.944
Au -1.690 -0.297 3.500
Au -4.592 -2.223 3.672
Au -1.943 -3.340 0.515
Au 1.798 -2.497 2.393
Au -0.025 -6.170 1.200
Li 0.720 -0.750 3.757
Li -3.261 -0.927 5.293
Li -3.021 -1.593 1.879
In -1.223 -4.090 4.272
In 0.000 0.000 0.000
Li 2.638 -3.579 4.443
```

Computed properties:
For the total magnetization, the calculation gives 0.000 μB per cell. As for the theoretical density: 7.12 Mg/m³.

---

<b>
This record from Alexandria via LeMat-Bulk describes a geometry-optimized Li3InAu3 structure. The functional is PBE-GGA.

The structure in extended XYZ format:
```
14
Lattice="6.240 1.345 0.341 -1.576 6.186 0.341 -0.251 -0.405 6.189" Properties=species:S:1:pos:R:3 pbc="T T T"
Li 3.362 5.429 3.604
Li 0.272 5.042 0.341
Li 4.158 2.355 3.435
Au 3.054 0.565 1.813
Au -0.854 2.986 1.813
Li 0.256 4.771 3.435
Au -0.187 -0.302 4.614
In 3.283 5.300 0.480
Li 1.051 1.698 3.266
Au 4.601 7.428 2.256
Au 1.360 6.561 5.057
Au 5.268 4.141 5.057
Li 4.393 2.490 0.341
In 1.131 1.826 6.390
```

Computed properties:
For the total magnetization, the calculation gives 0.000 μB per cell. As for the theoretical density: 9.52 Mg/m³.

---

In terms of stability, <b> leads; the second structure lies 0.408 eV/atom higher.

---

<a>
This record from Alexandria via LeMat-Bulk describes a geometry-optimized NaLiInAu structure. The functional is PBE-GGA.

The structure in extended XYZ format:
```
4
Lattice="4.858 0.000 0.000 0.000 4.858 -0.001 -2.429 -2.434 3.368" Properties=species:S:1:pos:R:3 pbc="T T T"
Li 0.000 -0.005 3.367
Au 0.000 4.858 -0.001
In 0.000 2.427 1.683
Na 2.429 -0.003 1.684
```

Computed properties:
For the total magnetization, the calculation gives 0.000 μB per cell. As for the theoretical density: 7.14 Mg/m³.

---

<b>
This record from Alexandria via LeMat-Bulk describes a geometry-optimized NaLiInAu structure. The functional is PBE-GGA.

The structure in extended XYZ format:
```
4
Lattice="4.815 0.000 0.000 2.408 4.170 0.000 2.408 1.390 3.932" Properties=species:S:1:pos:R:3 pbc="T T T"
Li 2.408 1.390 0.983
In 7.223 4.170 2.949
Au 0.000 0.000 0.000
Na 4.815 2.780 1.966
```

Computed properties:
For the total magnetization, the calculation gives 0.000 μB per cell. As for the theoretical density: 7.19 Mg/m³.

---

In terms of stability, <a> leads; the second structure lies 0.006 eV/atom higher.